DFT (PBE) results for a relaxed Co5C crystal.

Calculated values
- space-group type = P-62m, No. 189
- energy of formation from the pure elements (meV/atom) = 587

a = 4.2455 Å, b = 4.2455 Å, c = 3.8556 Å
α = 90.00°, β = 90.00°, γ = 120.00°
Closest atoms and distances in Å follow each position.
Element x y z (fractional)
Co: 0.0000 0.6849 0.0000  10 Co 2.32-2.52, 2 C 2.35
Co: 0.3151 0.3151 0.0000  10 Co 2.32-2.52, 2 C 2.35
Co: 0.3333 0.6667 0.5000  9 Co 2.42-2.45, 3 C 2.45
Co: 0.6667 0.3333 0.5000  9 Co 2.42-2.45, 3 C 2.45
Co: 0.6849 0.0000 0.0000  10 Co 2.32-2.52, 2 C 2.35
C: 0.0000 0.0000 0.5000  12 Co 2.35-2.45